Material: ZnCo2O5
Method: DFT, GGA+U
State: relaxed

Calculated values
Relative energy among the computed polymorphs in meV per atom: 0

Unit cell a=3.1332 b=4.9885 c=11.5314 alpha=91.26 beta=91.90 gamma=94.82
Space group P-1 (No. 2)
One atom of each set of equivalent atoms:
Zn: 0.1776 0.1069 0.2711 (multiplicity 2)
Co: 0.2459 0.4329 0.8957 (multiplicity 2)
Co: 0.2482 0.4276 0.6024 (multiplicity 2)
O: 0.1368 0.8153 0.1506 (multiplicity 2)
O: 0.2037 0.3614 0.4374 (multiplicity 2)
O: 0.2747 0.3449 0.0547 (multiplicity 2)
O: 0.2837 0.6193 0.7480 (multiplicity 2)
O: 0.3564 0.1174 0.6456 (multiplicity 2)